Entry 1:
{
  "formula": "Ce4PtRh2",
  "functional": "PBE",
  "state": "relaxed",
  "lattice": [[7.1117, -2.1000, 0.0000], [7.1117, 2.1000, 0.0000], [-3.3675, 0.0000, 6.1763]],
  "species": ["Ce", "Ce", "Ce", "Ce", "Pt", "Rh", "Rh"],
  "fractional_positions": [[0.1188, 0.1188, 0.3080], [0.3640, 0.3640, 0.2172], [0.6360, 0.6360, 0.7828], [0.8812, 0.8812, 0.6920], [0.5000, 0.5000, 0.0000], [0.2632, 0.2632, 0.7581], [0.7368, 0.7368, 0.2419]],
  "vol_a3_per_cell": 184.5,
  "dft_energy_ev_per_cell": -48.97,
  "ef_ev_per_atom": -0.642
}

Entry 2:
{
  "formula": "SmY4Al2",
  "functional": "PBE",
  "state": "relaxed",
  "lattice": [[2.6633, 1.5377, 7.8486], [-2.6633, 1.5377, 7.8486], [0.0000, -3.0753, 7.8486]],
  "species": ["Sm", "Y", "Y", "Y", "Y", "Al", "Al"],
  "fractional_positions": [[0.0000, 0.0000, 0.0000], [0.1533, 0.1533, 0.1533], [0.4172, 0.4172, 0.4172], [0.5828, 0.5828, 0.5828], [0.8467, 0.8467, 0.8467], [0.2812, 0.2812, 0.2812], [0.7188, 0.7188, 0.7188]],
  "de_polymorph_mev_per_atom": 0,
  "vol_a3_per_cell": 192.9,
  "dft_energy_ev_per_cell": -39.55,
  "ef_ev_per_atom": -0.212
}